# Al2CoPt | Alexandria via LeMat-Bulk | PBE | relaxed
data_Al2CoPt
_chemical_formula_sum 'Al2 Co1 Pt1'
_space_group_name_H-M_alt 'P 4 m m'
_space_group_IT_number 99
_cell_length_a 2.791
_cell_length_b 2.791
_cell_length_c 7.261
_cell_angle_alpha 90.00
_cell_angle_beta 90.00
_cell_angle_gamma 90.00
loop_
_space_group_symop_operation_xyz
'x,y,z'
'-y,x,z'
'-x,-y,z'
'y,-x,z'
'-x,y,z'
'y,x,z'
'x,-y,z'
'-y,-x,z'
loop_
_atom_site_label
_atom_site_fract_x
_atom_site_fract_y
_atom_site_fract_z
Al1 0.000 0.000 0.000
Al2 0.500 0.500 0.308
Co1 0.000 0.000 0.506
Pt1 0.500 0.500 0.763
# * calculated formation energy: -1.35 eV/f.u.
# * E_tot: -22.0 eV/cell
# * total magnetization: 0.0 Bohr magnetons per cell

# AlCo2Pt | Alexandria via LeMat-Bulk | PBE | relaxed
data_AlCo2Pt
_chemical_formula_sum 'Al4 Co8 Pt4'
_space_group_name_H-M_alt 'I -4 2 d'
_space_group_IT_number 122
_space_group_name_Hall 'I -4 2bw'
_cell_length_a 3.538
_cell_length_b 3.538
_cell_length_c 18.032
_cell_angle_alpha 90.00
_cell_angle_beta 90.00
_cell_angle_gamma 90.00
loop_
_atom_site_label
_atom_site_fract_x
_atom_site_fract_y
_atom_site_fract_z
Al1 0.000 0.000 0.000
Co1 0.225 0.250 0.125
Pt1 0.000 0.000 0.500
# * calculated formation energy: -0.09 eV/f.u.
# * E_tot: -96.3 eV/cell
# * total magnetization: 13.3 Bohr magnetons per cell

# AlCoPt3 | Alexandria via LeMat-Bulk | PBE | relaxed
data_AlCoPt3
_chemical_formula_sum 'Al1 Co1 Pt3'
_space_group_name_H-M_alt 'P m -3 m'
_space_group_IT_number 221
_space_group_name_Hall '-P 4 2 3'
_cell_length_a 4.520
_cell_length_b 4.520
_cell_length_c 4.520
_cell_angle_alpha 90.00
_cell_angle_beta 90.00
_cell_angle_gamma 90.00
loop_
_atom_site_label
_atom_site_fract_x
_atom_site_fract_y
_atom_site_fract_z
Al1 0.000 0.000 0.000
Co1 0.500 0.500 0.500
Pt1 0.000 0.000 0.500
# * calculated formation energy: 3.46 eV/f.u.
# * E_tot: -25.5 eV/cell
# * total magnetization: 2.1 Bohr magnetons per cell

# AlCo2Pt | Alexandria via LeMat-Bulk | PBE | relaxed
data_AlCo2Pt
_chemical_formula_sum 'Al2 Co4 Pt2'
_space_group_name_H-M_alt 'I -4 m 2'
_space_group_IT_number 119
_space_group_name_Hall 'I -4 -2'
_cell_length_a 3.786
_cell_length_b 3.786
_cell_length_c 7.120
_cell_angle_alpha 90.00
_cell_angle_beta 90.00
_cell_angle_gamma 90.00
loop_
_atom_site_label
_atom_site_fract_x
_atom_site_fract_y
_atom_site_fract_z
Al1 0.000 0.000 0.000
Co1 0.000 0.000 0.500
Co2 0.000 0.500 0.250
Pt1 0.000 0.500 0.750
# * calculated formation energy: -1.64 eV/f.u.
# * E_tot: -51.3 eV/cell
# * total magnetization: 5.7 Bohr magnetons per cell

# Al2Co2Pt | Alexandria via LeMat-Bulk | PBE | relaxed
data_Al2Co2Pt
_chemical_formula_sum 'Al4 Co4 Pt2'
_space_group_name_H-M_alt 'P 4/m b m'
_space_group_IT_number 127
_space_group_name_Hall '-P 4 2ab'
_cell_length_a 6.786
_cell_length_b 6.786
_cell_length_c 2.778
_cell_angle_alpha 90.00
_cell_angle_beta 90.00
_cell_angle_gamma 90.00
loop_
_atom_site_label
_atom_site_fract_x
_atom_site_fract_y
_atom_site_fract_z
Al1 0.142 0.358 0.000
Co1 0.154 0.654 0.500
Pt1 0.000 0.000 0.000
# * calculated formation energy: -2.00 eV/f.u.
# * E_tot: -59.5 eV/cell
# * total magnetization: 0.0 Bohr magnetons per cell

# Al2CoPt9 | Alexandria via LeMat-Bulk | PBE | relaxed
data_Al2CoPt9
_chemical_formula_sum 'Al2 Co1 Pt9'
_space_group_name_H-M_alt 'P 4/m m m'
_space_group_IT_number 123
_space_group_name_Hall '-P 4 2'
_cell_length_a 3.912
_cell_length_b 3.912
_cell_length_c 11.736
_cell_angle_alpha 90.00
_cell_angle_beta 90.00
_cell_angle_gamma 90.00
loop_
_atom_site_label
_atom_site_fract_x
_atom_site_fract_y
_atom_site_fract_z
Al1 0.000 0.000 0.168
Co1 0.000 0.000 0.500
Pt1 0.000 0.500 0.000
Pt2 0.000 0.500 0.335
Pt3 0.500 0.500 0.167
Pt4 0.500 0.500 0.500
# * calculated formation energy: -5.75 eV/f.u.
# * E_tot: -74.7 eV/cell
# * total magnetization: 3.8 Bohr magnetons per cell

# AlCo2Pt | Alexandria via LeMat-Bulk | PBE | relaxed
data_AlCo2Pt
_chemical_formula_sum 'Al2 Co4 Pt2'
_space_group_name_H-M_alt 'C 1 2/m 1'
_space_group_IT_number 12
_cell_length_a 8.864
_cell_length_b 2.739
_cell_length_c 4.365
_cell_angle_alpha 90.00
_cell_angle_beta 103.53
_cell_angle_gamma 90.00
loop_
_space_group_symop_operation_xyz
'x,y,z'
'-x,-y,-z'
'-x,y,-z'
'x,-y,z'
'x+1/2,y+1/2,z'
'-x+1/2,-y+1/2,-z'
'-x+1/2,y+1/2,-z'
'x+1/2,-y+1/2,z'
loop_
_atom_site_label
_atom_site_fract_x
_atom_site_fract_y
_atom_site_fract_z
Al1 0.000 0.000 0.000
Co1 0.246 0.500 0.239
Pt1 0.000 0.500 0.500
# * calculated formation energy: -1.29 eV/f.u.
# * E_tot: -50.6 eV/cell
# * total magnetization: 6.0 Bohr magnetons per cell

# AlCo2Pt | Alexandria via LeMat-Bulk | PBE | relaxed
data_AlCo2Pt
_chemical_formula_sum 'Al1 Co2 Pt1'
_space_group_name_H-M_alt 'P 1 2/m 1'
_space_group_IT_number 10
_cell_length_a 2.693
_cell_length_b 3.677
_cell_length_c 5.166
_cell_angle_alpha 90.00
_cell_angle_beta 90.37
_cell_angle_gamma 90.00
loop_
_space_group_symop_operation_xyz
'x,y,z'
'-x,-y,-z'
'-x,y,-z'
'x,-y,z'
loop_
_atom_site_label
_atom_site_fract_x
_atom_site_fract_y
_atom_site_fract_z
Al1 0.000 0.000 0.000
Co1 0.498 0.500 0.235
Pt1 0.000 0.000 0.500
# * calculated formation energy: -1.12 eV/f.u.
# * E_tot: -25.1 eV/cell
# * total magnetization: 2.7 Bohr magnetons per cell